1.
DFT (PBE-GGA) results for crystalline ZnAsRh2 at its relaxed geometry.

Values from the calculation:
DFT formation energy ... -0.05 eV/atom
Fermi-level density of states ... 4.13 states/eV/f.u.
Offset from the most stable computed form ... 296 meV/atom
V ... 15.4 A^3/atom

Unit cell a=2.9247 b=2.9247 c=24.9349 alpha=90.00 beta=90.00 gamma=120.00
Space group R3m (No. 160, hexagonal axes)
Asymmetric unit:
Zn1 0.0000 0.0000 0.0000
As1 0.0000 0.0000 0.2404
Rh1 0.0000 0.0000 0.5009
Rh2 0.0000 0.0000 0.7445

2.
DFT (PBE-GGA) results for crystalline PuPa2Ti at its relaxed geometry.

Values from the calculation:
DFT formation energy ... 0.15 eV/atom
Fermi-level density of states ... 10.68 states/eV/f.u.
Offset from the most stable computed form ... 90 meV/atom
V ... 22.8 A^3/atom

Unit cell a=3.1763 b=3.1763 c=31.2772 alpha=90.00 beta=90.00 gamma=120.00
Space group R3m (No. 160, hexagonal axes)
Asymmetric unit:
Pu1 0.0000 0.0000 0.0000
Pa1 0.0000 0.0000 0.2465
Pa2 0.0000 0.0000 0.4180
Ti1 0.0000 0.0000 0.8316

3.
DFT (PBE-GGA) results for crystalline HoErMgIr at its relaxed geometry.

Values from the calculation:
DFT formation energy ... -0.48 eV/atom
Fermi-level density of states ... 2.09 states/eV/f.u.
V ... 22.0 A^3/atom

Unit cell a=7.059 b=7.059 c=7.059 alpha=90.00 beta=90.00 gamma=90.00
Space group F-43m (No. 216)
Asymmetric unit:
Ho1 0.000 0.000 0.000
Er1 0.000 0.000 0.500
Mg1 0.250 0.250 0.750
Ir1 0.250 0.250 0.250

4.
DFT (PBE-GGA) results for crystalline HfMnBi2N at its relaxed geometry.

Values from the calculation:
Uncorrected formation energy ... 6.42 eV per formula unit
Fermi-level density of states ... 3.62 states/eV/f.u.
V ... 22.8 A^3/atom

Unit cell a=4.900 b=4.900 c=4.751 alpha=90.00 beta=90.00 gamma=90.00
Space group P4/mmm (No. 123)
Asymmetric unit:
Hf1 0.000 0.000 0.000
Mn1 0.000 0.000 0.500
Bi1 0.000 0.500 0.500
N1 0.500 0.500 0.000

5.
DFT (PBE-GGA) results for crystalline MnFeAu2 at its relaxed geometry.

Values from the calculation:
DFT formation energy ... 0.12 eV/atom
Fermi-level density of states ... 3.82 states/eV/f.u.
V ... 15.8 A^3/atom

Unit cell a=4.043 b=4.043 c=7.721 alpha=90.00 beta=90.00 gamma=90.00
Space group I4/mmm (No. 139)
Asymmetric unit:
Mn1 0.000 0.000 0.000
Fe1 0.000 0.000 0.500
Au1 0.000 0.500 0.250

6.
DFT (PBE-GGA) results for crystalline PaTlGa2 at its relaxed geometry.

Values from the calculation:
DFT formation energy ... 0.03 eV/atom
Fermi-level density of states ... 5.15 states/eV/f.u.
Offset from the most stable computed form ... 186 meV/atom
V ... 22.7 A^3/atom

Unit cell a=3.597 b=3.597 c=7.019 alpha=90.00 beta=90.00 gamma=90.00
Space group P4/mmm (No. 123)
Asymmetric unit:
Pa1 0.000 0.000 0.000
Tl1 0.000 0.000 0.500
Ga1 0.500 0.500 0.251

7.
DFT (PBE-GGA) results for crystalline BaTi3Re at its relaxed geometry.

Values from the calculation:
DFT formation energy ... 0.49 eV/atom
Fermi-level density of states ... 6.10 states/eV/f.u.
Offset from the most stable computed form ... 0 meV/atom
V ... 24.4 A^3/atom

Unit cell a=4.961 b=4.961 c=4.961 alpha=90.00 beta=90.00 gamma=90.00
Space group Pm-3m (No. 221)
Asymmetric unit:
Ba1 0.000 0.000 0.000
Ti1 0.000 0.500 0.500
Re1 0.500 0.500 0.500